Entry from Alexandria via LeMat-Bulk: a relaxed PmPrTlGa crystal (PBE-GGA).

Cell lengths 5.390, 5.390, 5.390 Å; angles 60.00, 60.00, 60.00 degrees
Fractional coordinates of all 4 atoms:
Pr (0.500, 0.500, 0.500)
Tl (0.750, 0.750, 0.750)
Ga (0.250, 0.250, 0.250)
Pm (0.000, 0.000, 0.000)

---

Entry from Alexandria via LeMat-Bulk: a relaxed PmPrTlGa crystal (PBE-GGA).

Cell lengths 3.757, 3.757, 7.807 Å; angles 90.00, 90.00, 90.00 degrees
Fractional coordinates of all 4 atoms:
Pm (0.500, 0.500, 0.590)
Pr (0.500, 0.500, 0.124)
Tl (0.000, 0.000, 0.852)
Ga (0.000, 0.000, 0.362)

---

Entry from Alexandria via LeMat-Bulk: a relaxed Pm3Pr3TlGa2 crystal (PBE-GGA).

Cell lengths 3.851, 8.953, 8.953 Å; angles 120.00, 90.00, 90.00 degrees
Fractional coordinates of all 9 atoms:
Pm (0.000, 0.609, 0.609)
Pm (0.000, 0.000, 0.391)
Pm (0.000, 0.391, 0.000)
Pr (0.500, 0.707, 0.000)
Pr (0.500, 0.000, 0.707)
Pr (0.500, 0.293, 0.293)
Tl (0.000, 0.000, 0.000)
Ga (0.500, 0.667, 0.333)
Ga (0.500, 0.333, 0.667)

---

Entry from Alexandria via LeMat-Bulk: a relaxed PmPrYGa crystal (PBE-GGA).

Cell lengths 5.446, 5.446, 5.446 Å; angles 60.00, 60.00, 60.00 degrees
Site moments in Bohr magnetons follow the coordinates.
Fractional coordinates of all 4 atoms:
Pr (0.500, 0.500, 0.500)  0.21
Y (0.000, 0.000, 0.000)  0.23
Ga (0.750, 0.750, 0.750)  0.00
Pm (0.250, 0.250, 0.250)  0.35

---

Entry from Alexandria via LeMat-Bulk: a relaxed Pm2Ga3Pt5 crystal (PBE-GGA).

Cell lengths 4.211, 6.921, 12.843 Å; angles 90.00, 99.44, 90.00 degrees
Fractional coordinates of all 20 atoms:
Pm (0.475, 0.730, 0.950)
Pm (0.174, 0.761, 0.348)
Pm (0.826, 0.261, 0.652)
Pm (0.525, 0.230, 0.050)
Ga (0.782, 0.811, 0.564)
Ga (0.628, 0.443, 0.255)
Ga (0.045, 0.913, 0.089)
Ga (0.218, 0.311, 0.436)
Ga (0.955, 0.413, 0.911)
Ga (0.372, 0.943, 0.745)
Pt (0.402, 0.386, 0.804)
Pt (0.304, 0.580, 0.607)
Pt (0.696, 0.080, 0.393)
Pt (0.119, 0.189, 0.237)
Pt (0.273, 0.010, 0.546)
Pt (0.944, 0.042, 0.888)
Pt (0.727, 0.510, 0.454)
Pt (0.881, 0.689, 0.763)
Pt (0.056, 0.542, 0.112)
Pt (0.598, 0.886, 0.196)

---

Entry from Alexandria via LeMat-Bulk: a relaxed Pm6GaPt2 crystal (PBE-GGA).

Cell lengths 8.723, 8.723, 8.723 Å; angles 104.58, 110.25, 113.71 degrees
Fractional coordinates of all 18 atoms:
Pm (0.535, 0.714, 0.821)
Pm (0.465, 0.286, 0.179)
Pm (0.108, 0.286, 0.821)
Pm (0.892, 0.714, 0.179)
Pm (0.807, 0.763, 0.570)
Pm (0.193, 0.237, 0.430)
Pm (0.193, 0.763, 0.956)
Pm (0.807, 0.237, 0.044)
Pm (0.697, 0.366, 0.669)
Pm (0.303, 0.634, 0.331)
Pm (0.303, 0.972, 0.669)
Pm (0.697, 0.028, 0.331)
Ga (0.000, 0.500, 0.500)
Ga (0.000, 0.000, 0.000)
Pt (0.500, 0.367, 0.867)
Pt (0.500, 0.633, 0.133)
Pt (0.660, 0.000, 0.660)
Pt (0.340, 0.000, 0.340)

---

Entry from Alexandria via LeMat-Bulk: a relaxed Pm2Ga5Pt5 crystal (PBE-GGA).

Cell lengths 4.260, 5.415, 9.614 Å; angles 90.00, 90.00, 90.00 degrees
Fractional coordinates of all 12 atoms:
Pm (0.000, 0.500, 0.000)
Pm (0.000, 0.000, 0.500)
Ga (0.500, 0.500, 0.500)
Ga (0.500, 0.742, 0.231)
Ga (0.500, 0.258, 0.769)
Ga (0.500, 0.258, 0.231)
Ga (0.500, 0.742, 0.769)
Pt (0.000, 0.500, 0.340)
Pt (0.000, 0.000, 0.809)
Pt (0.000, 0.000, 0.191)
Pt (0.000, 0.500, 0.660)
Pt (0.500, 0.000, 0.000)

---

Entry from Alexandria via LeMat-Bulk: a relaxed Pm3Ga3Pt8 crystal (PBE-GGA).

Cell lengths 4.425, 8.297, 8.448 Å; angles 65.28, 74.82, 74.53 degrees
Fractional coordinates of all 14 atoms:
Pm (0.296, 0.736, 0.673)
Pm (0.704, 0.264, 0.327)
Pm (0.000, 0.000, 0.000)
Ga (0.000, 0.500, 0.500)
Ga (0.675, 0.658, 0.992)
Ga (0.325, 0.342, 0.008)
Pt (0.119, 0.158, 0.604)
Pt (0.881, 0.842, 0.396)
Pt (0.870, 0.421, 0.840)
Pt (0.130, 0.579, 0.160)
Pt (0.504, 0.672, 0.320)
Pt (0.496, 0.328, 0.680)
Pt (0.347, 0.046, 0.259)
Pt (0.653, 0.954, 0.741)

---

Entry from Alexandria via LeMat-Bulk: a relaxed PmGa4Pt crystal (PBE-GGA).

Cell lengths 4.324, 6.732, 8.154 Å; angles 90.00, 105.38, 90.00 degrees
Fractional coordinates of all 12 atoms:
Pm (0.122, 0.250, 0.244)
Pm (0.878, 0.750, 0.756)
Ga (0.500, 0.500, 0.000)
Ga (0.500, 0.000, 0.000)
Ga (0.679, 0.950, 0.358)
Ga (0.321, 0.050, 0.642)
Ga (0.321, 0.450, 0.642)
Ga (0.679, 0.550, 0.358)
Ga (0.062, 0.750, 0.124)
Ga (0.938, 0.250, 0.876)
Pt (0.220, 0.750, 0.440)
Pt (0.780, 0.250, 0.560)

---

Entry from Alexandria via LeMat-Bulk: a relaxed Pm7Ga2Pt2 crystal (PBE-GGA).

Cell lengths 6.906, 7.151, 6.906 Å; angles 89.99, 107.74, 90.01 degrees
Fractional coordinates of all 11 atoms:
Pm (0.000, 0.264, 0.500)
Pm (0.500, 0.736, 0.000)
Pm (0.000, 0.736, 0.500)
Pm (0.500, 0.264, 0.000)
Pm (0.000, 0.000, 0.000)
Pm (0.500, 0.740, 0.500)
Pm (0.500, 0.260, 0.500)
Ga (0.839, 0.500, 0.839)
Ga (0.161, 0.500, 0.161)
Pt (0.708, 0.000, 0.292)
Pt (0.292, 0.000, 0.708)

---

Entry from Alexandria via LeMat-Bulk: a relaxed PmGaPt2 crystal (PBE-GGA).

Cell lengths 3.416, 3.416, 6.586 Å; angles 90.00, 90.00, 90.00 degrees
Fractional coordinates of all 4 atoms:
Ga (0.500, 0.500, 0.000)
Pt (0.000, 0.000, 0.789)
Pt (0.000, 0.000, 0.211)
Pm (0.500, 0.500, 0.500)

---

Entry from Alexandria via LeMat-Bulk: a relaxed PmGaPt crystal (PBE-GGA).

Cell lengths 4.896, 4.896, 7.424 Å; angles 70.75, 70.75, 60.00 degrees
Fractional coordinates of all 6 atoms:
Pt (0.243, 0.243, 0.270)
Pt (0.757, 0.757, 0.730)
Pm (0.390, 0.390, 0.831)
Pm (0.610, 0.610, 0.169)
Ga (0.880, 0.880, 0.360)
Ga (0.120, 0.120, 0.640)

---

Entry from Alexandria via LeMat-Bulk: a relaxed Pm6Ga2Pt crystal (PBE-GGA).

Cell lengths 5.013, 7.210, 8.748 Å; angles 114.34, 106.68, 90.00 degrees
Fractional coordinates of all 9 atoms:
Pm (0.163, 0.408, 0.326)
Pm (0.837, 0.082, 0.674)
Pm (0.837, 0.592, 0.674)
Pm (0.500, 0.243, 0.000)
Pm (0.163, 0.918, 0.326)
Pm (0.500, 0.757, 0.000)
Ga (0.667, 0.667, 0.334)
Ga (0.333, 0.333, 0.666)
Pt (0.000, 0.000, 0.000)

---

Entry from Alexandria via LeMat-Bulk: a relaxed Pm2Ga4Pt5 crystal (PBE-GGA).

Cell lengths 5.635, 5.562, 8.333 Å; angles 80.14, 70.24, 59.57 degrees
Fractional coordinates of all 11 atoms:
Pm (0.873, 0.000, 0.254)
Pm (0.127, 0.000, 0.746)
Ga (0.473, 0.314, 0.740)
Ga (0.527, 0.686, 0.260)
Ga (0.213, 0.314, 0.260)
Ga (0.787, 0.686, 0.740)
Pt (0.500, 0.000, 0.000)
Pt (0.000, 0.500, 0.000)
Pt (0.500, 0.500, 0.000)
Pt (0.250, 0.500, 0.500)
Pt (0.750, 0.500, 0.500)

---

Entry from Alexandria via LeMat-Bulk: a relaxed Pm2Ga3Pt2 crystal (PBE-GGA).

Cell lengths 4.164, 7.346, 9.569 Å; angles 90.00, 102.57, 90.00 degrees
Fractional coordinates of all 14 atoms:
Pm (0.158, 0.250, 0.315)
Pm (0.842, 0.750, 0.685)
Pm (0.935, 0.250, 0.869)
Pm (0.065, 0.750, 0.131)
Ga (0.228, 0.750, 0.456)
Ga (0.772, 0.250, 0.544)
Ga (0.558, 0.422, 0.116)
Ga (0.442, 0.578, 0.884)
Ga (0.442, 0.922, 0.884)
Ga (0.558, 0.078, 0.116)
Pt (0.688, 0.948, 0.376)
Pt (0.312, 0.052, 0.624)
Pt (0.312, 0.448, 0.624)
Pt (0.688, 0.552, 0.376)

---

Entry from Alexandria via LeMat-Bulk: a relaxed Pm2Ga3Pt2 crystal (PBE-GGA).

Cell lengths 4.373, 5.631, 6.844 Å; angles 112.64, 90.00, 112.85 degrees
Fractional coordinates of all 7 atoms:
Pm (0.851, 0.702, 0.226)
Pm (0.149, 0.298, 0.774)
Ga (0.500, 0.000, 0.000)
Ga (0.619, 0.237, 0.438)
Ga (0.381, 0.763, 0.562)
Pt (0.861, 0.721, 0.781)
Pt (0.139, 0.279, 0.219)

---

Entry from Alexandria via LeMat-Bulk: a relaxed Pm2GaPt2 crystal (PBE-GGA).

Cell lengths 4.412, 5.675, 5.675 Å; angles 60.40, 67.12, 67.12 degrees
Fractional coordinates of all 5 atoms:
Pm (0.699, 0.801, 0.301)
Pm (0.301, 0.199, 0.699)
Ga (0.500, 0.500, 0.000)
Pt (0.000, 0.240, 0.260)
Pt (0.000, 0.760, 0.740)

---

Entry from Alexandria via LeMat-Bulk: a relaxed PmGa2Pt crystal (PBE-GGA).

Cell lengths 4.752, 4.752, 4.752 Å; angles 60.00, 60.00, 60.00 degrees
Fractional coordinates of all 4 atoms:
Ga (0.250, 0.250, 0.250)
Ga (0.750, 0.750, 0.750)
Pt (0.500, 0.500, 0.500)
Pm (0.000, 0.000, 0.000)

---

Entry from Alexandria via LeMat-Bulk: a relaxed Pm3GaPt crystal (PBE-GGA).

Cell lengths 6.718, 9.885, 9.018 Å; angles 117.25, 90.00, 90.00 degrees
Fractional coordinates of all 20 atoms:
Pm (0.000, 0.695, 0.874)
Pm (0.000, 0.305, 0.126)
Pm (0.500, 0.805, 0.126)
Pm (0.500, 0.195, 0.874)
Pm (0.500, 0.470, 0.739)
Pm (0.500, 0.530, 0.261)
Pm (0.000, 0.030, 0.261)
Pm (0.000, 0.970, 0.739)
Pm (0.000, 0.300, 0.672)
Pm (0.000, 0.700, 0.328)
Pm (0.500, 0.200, 0.328)
Pm (0.500, 0.800, 0.672)
Ga (0.808, 0.500, 0.500)
Ga (0.192, 0.500, 0.500)
Ga (0.308, 0.000, 0.500)
Ga (0.692, 0.000, 0.500)
Pt (0.218, 0.500, 0.000)
Pt (0.782, 0.500, 0.000)
Pt (0.718, 0.000, 0.000)
Pt (0.282, 0.000, 0.000)

---

Entry from Alexandria via LeMat-Bulk: a relaxed Pm3GaPt8 crystal (PBE-GGA).

Cell lengths 5.481, 5.481, 9.463 Å; angles 73.17, 73.17, 60.00 degrees
Fractional coordinates of all 12 atoms:
Pm (0.379, 0.379, 0.863)
Pm (0.989, 0.989, 0.033)
Pm (0.510, 0.510, 0.471)
Ga (0.853, 0.853, 0.440)
Pt (0.944, 0.439, 0.178)
Pt (0.435, 0.941, 0.684)
Pt (0.439, 0.439, 0.178)
Pt (0.941, 0.941, 0.684)
Pt (0.191, 0.191, 0.428)
Pt (0.690, 0.690, 0.931)
Pt (0.439, 0.944, 0.178)
Pt (0.941, 0.435, 0.684)

---

Entry from Alexandria via LeMat-Bulk: a relaxed Pm2Ga2Pt crystal (PBE-GGA).

Cell lengths 4.407, 5.856, 9.873 Å; angles 87.81, 77.10, 67.90 degrees
Fractional coordinates of all 10 atoms:
Pm (0.680, 0.311, 0.329)
Pm (0.929, 0.262, 0.879)
Pm (0.320, 0.689, 0.671)
Pm (0.071, 0.738, 0.121)
Ga (0.095, 0.258, 0.552)
Ga (0.633, 0.845, 0.889)
Ga (0.905, 0.742, 0.448)
Ga (0.367, 0.155, 0.111)
Pt (0.612, 0.114, 0.662)
Pt (0.388, 0.886, 0.338)

---

Entry from Alexandria via LeMat-Bulk: a relaxed Pm2Ga3Pt5 crystal (PBE-GGA).

Cell lengths 5.776, 8.651, 8.651 Å; angles 79.13, 70.50, 70.50 degrees
Fractional coordinates of all 20 atoms:
Pm (0.137, 0.588, 0.137)
Pm (0.637, 0.137, 0.588)
Pm (0.863, 0.412, 0.863)
Pm (0.363, 0.863, 0.412)
Ga (0.358, 0.535, 0.748)
Ga (0.858, 0.748, 0.535)
Ga (0.642, 0.465, 0.252)
Ga (0.142, 0.252, 0.465)
Ga (0.250, 0.000, 0.000)
Ga (0.750, 0.000, 0.000)
Pt (0.404, 0.271, 0.921)
Pt (0.904, 0.921, 0.271)
Pt (0.596, 0.729, 0.079)
Pt (0.096, 0.079, 0.729)
Pt (0.467, 0.783, 0.783)
Pt (0.533, 0.217, 0.217)
Pt (0.750, 0.500, 0.500)
Pt (0.250, 0.500, 0.500)
Pt (0.033, 0.217, 0.217)
Pt (0.967, 0.783, 0.783)

---

| no. | formation energy (eV/atom) |
| --- | --- |
| 1 | -0.441 |
| 2 | -0.471 |
| 3 | -0.301 |
| 4 | -0.062 |
| 5 | -0.914 |
| 6 | -0.659 |
| 7 | -0.838 |
| 8 | -0.969 |
| 9 | -0.683 |
| 10 | -0.507 |
| 11 | -0.779 |
| 12 | -0.794 |
| 13 | -0.404 |
| 14 | -0.877 |
| 15 | -0.880 |
| 16 | -0.897 |
| 17 | -1.040 |
| 18 | -0.619 |
| 19 | -0.672 |
| 20 | -0.951 |
| 21 | -0.855 |
| 22 | -0.941 |